# meta-GGA SCAN Sr2AlSbO6, single point on PBEsol structure
# - formation energy without anion corrections (kJ/mol of atoms) = -271.13
# - density (g/cm3) = 5.9
# - DOS(E_F) (states/eV/f.u.) = 0.0
data_Sr2AlSbO6
_chemical_formula_sum 'Sr8 Al4 Sb4 O24'
_cell_length_a 7.7730
_cell_length_b 7.7730
_cell_length_c 7.7730
_cell_angle_alpha 90.00
_cell_angle_beta 90.00
_cell_angle_gamma 90.00
_symmetry_space_group_name_H-M 'F m -3 m'
_symmetry_Int_Tables_number 225
_symmetry_space_group_name_Hall '-F 4 2 3'
loop_
_atom_site_label
_atom_site_type_symbol
_atom_site_fract_x
_atom_site_fract_y
_atom_site_fract_z
Sr1 Sr 0.2500 0.2500 0.2500
Al1 Al 0.0000 0.0000 0.0000
Sb1 Sb 0.0000 0.0000 0.5000
O1 O 0.0000 0.0000 0.2457